Computed, not measured: a relaxed Sm8Al2Tl crystal at the GGA-PBE level of DFT.

Properties
VASP energy   -49.24 eV for the cell shown
Volume   29.685 A^3/atom
Formation enthalpy at 0 K   -0.15 eV per atom
Relative energy among the computed polymorphs   32 meV per atom
Calculated density   7.43 g/cm³
Magnetic moment   0.00 μB per cell

Cell lengths 5.090, 8.564, 8.995 Å; angles 118.43, 106.44, 90.00 degrees
Element x y z (fractional)
Sm 0.339 0.121 0.677
Sm 0.661 0.444 0.323
Sm 0.856 0.856 0.711
Sm 0.339 0.556 0.677
Sm 0.144 0.144 0.289
Sm 0.661 0.879 0.323
Sm 0.000 0.314 0.000
Sm 0.000 0.686 0.000
Tl 0.500 0.000 0.000
Al 0.807 0.307 0.614
Al 0.193 0.693 0.386

Computed, not measured: a relaxed Sm6AlTl3 crystal at the GGA-PBE level of DFT.

Properties
VASP energy   -83.97 eV for the cell shown
Volume   29.011 A^3/atom
Formation enthalpy at 0 K   -0.28 eV per atom
Relative energy among the computed polymorphs   0 meV per atom
Calculated density   8.83 g/cm³
Magnetic moment   0.00 μB per cell

Cell lengths 5.351, 9.579, 11.793 Å; angles 106.31, 90.00, 90.00 degrees
Element x y z (fractional)
Sm 0.250 0.232 0.501
Sm 0.750 0.768 0.499
Sm 0.750 0.335 0.325
Sm 0.750 0.899 0.123
Sm 0.250 0.855 0.324
Sm 0.250 0.127 0.161
Sm 0.750 0.532 0.906
Sm 0.250 0.468 0.094
Sm 0.750 0.145 0.676
Sm 0.750 0.873 0.839
Sm 0.250 0.101 0.877
Sm 0.250 0.665 0.675
Tl 0.750 0.227 0.029
Tl 0.750 0.473 0.613
Tl 0.250 0.773 0.971
Tl 0.250 0.380 0.783
Tl 0.750 0.620 0.217
Tl 0.250 0.527 0.387
Al 0.250 0.953 0.608
Al 0.750 0.047 0.392

Computed, not measured: a relaxed Sm9Al2Tl crystal at the GGA-PBE level of DFT.

Properties
VASP energy   -54.46 eV for the cell shown
Volume   29.055 A^3/atom
Formation enthalpy at 0 K   -0.18 eV per atom
Calculated density   7.68 g/cm³
Magnetic moment   0.09 μB per cell

Cell lengths 4.880, 4.880, 14.642 Å; angles 90.00, 90.00, 90.00 degrees
Element x y z (fractional)
Sm 0.000 0.500 0.500
Sm 0.500 0.000 0.500
Sm 0.500 0.000 0.173
Sm 0.500 0.500 0.000
Sm 0.500 0.000 0.827
Sm 0.500 0.500 0.337
Sm 0.500 0.500 0.663
Sm 0.000 0.500 0.827
Sm 0.000 0.500 0.173
Tl 0.000 0.000 0.000
Al 0.000 0.000 0.334
Al 0.000 0.000 0.666

Computed, not measured: a relaxed Sm5Al2Tl2 crystal at the GGA-PBE level of DFT.

Properties
VASP energy   -77.29 eV for the cell shown
Volume   29.375 A^3/atom
Formation enthalpy at 0 K   -0.31 eV per atom
Calculated density   7.63 g/cm³
Magnetic moment   0.00 μB per cell

Cell lengths 7.915, 8.086, 9.198 Å; angles 116.07, 90.00, 90.00 degrees
Element x y z (fractional)
Tl 0.000 0.781 0.562
Tl 0.500 0.719 0.438
Tl 0.000 0.219 0.438
Tl 0.500 0.281 0.562
Sm 0.677 0.321 0.266
Sm 0.177 0.179 0.734
Sm 0.500 0.500 0.000
Sm 0.323 0.679 0.734
Sm 0.000 0.000 0.000
Sm 0.177 0.444 0.266
Sm 0.323 0.944 0.266
Sm 0.823 0.556 0.734
Sm 0.823 0.821 0.266
Sm 0.677 0.056 0.734
Al 0.384 0.115 0.000
Al 0.616 0.885 0.000
Al 0.884 0.385 0.000
Al 0.116 0.615 0.000

Computed, not measured: a relaxed Sm4Al2Tl crystal at the GGA-PBE level of DFT.

Properties
VASP energy   -30.27 eV for the cell shown
Volume   28.854 A^3/atom
Formation enthalpy at 0 K   -0.22 eV per atom
Calculated density   7.07 g/cm³
Magnetic moment   0.00 μB per cell

Cell lengths 5.243, 5.243, 9.009 Å; angles 73.08, 73.08, 60.00 degrees
Element x y z (fractional)
Al 0.748 0.748 0.755
Al 0.252 0.252 0.245
Sm 0.384 0.384 0.848
Sm 0.869 0.869 0.392
Sm 0.616 0.616 0.152
Sm 0.131 0.131 0.608
Tl 0.000 0.000 0.000

Computed, not measured: a relaxed Sm9AlTl2 crystal at the GGA-PBE level of DFT.

Properties
VASP energy   -53.20 eV for the cell shown
Volume   29.626 A^3/atom
Formation enthalpy at 0 K   -0.19 eV per atom
Calculated density   8.36 g/cm³
Magnetic moment   1.37 μB per cell

Cell lengths 4.911, 4.911, 14.743 Å; angles 90.00, 90.00, 90.00 degrees
Element x y z (fractional)
Sm 0.500 0.500 0.330
Sm 0.500 0.500 0.670
Sm 0.500 0.000 0.840
Sm 0.000 0.500 0.500
Sm 0.000 0.500 0.840
Sm 0.000 0.500 0.160
Sm 0.500 0.000 0.500
Sm 0.500 0.000 0.160
Sm 0.500 0.500 0.000
Tl 0.000 0.000 0.332
Tl 0.000 0.000 0.668
Al 0.000 0.000 0.000

Computed, not measured: a relaxed Sm5Al2Tl crystal at the GGA-PBE level of DFT.

Properties
VASP energy   -71.59 eV for the cell shown
Volume   29.368 A^3/atom
Formation enthalpy at 0 K   -0.29 eV per atom
Calculated density   7.14 g/cm³
Magnetic moment   0.00 μB per cell

Cell lengths 7.941, 7.941, 9.330 Å; angles 115.19, 115.19, 90.00 degrees
Element x y z (fractional)
Al 0.381 0.881 0.000
Al 0.119 0.381 0.000
Al 0.619 0.119 0.000
Al 0.881 0.619 0.000
Tl 0.750 0.750 0.500
Tl 0.250 0.250 0.500
Sm 0.317 0.817 0.293
Sm 0.976 0.476 0.293
Sm 0.524 0.683 0.707
Sm 0.500 0.500 0.000
Sm 0.000 0.000 0.000
Sm 0.683 0.183 0.707
Sm 0.817 0.976 0.293
Sm 0.476 0.317 0.293
Sm 0.024 0.524 0.707
Sm 0.183 0.024 0.707

Computed, not measured: a relaxed Sm8Al2Tl crystal at the GGA-PBE level of DFT.

Properties
VASP energy   -49.60 eV for the cell shown
Volume   29.456 A^3/atom
Formation enthalpy at 0 K   -0.18 eV per atom
Relative energy among the computed polymorphs   0 meV per atom
Calculated density   7.49 g/cm³
Magnetic moment   0.00 μB per cell

Cell lengths 5.035, 8.217, 8.862 Å; angles 111.82, 106.50, 90.00 degrees
Element x y z (fractional)
Sm 0.850 0.783 0.700
Sm 0.056 0.725 0.113
Sm 0.319 0.052 0.639
Sm 0.944 0.275 0.887
Sm 0.681 0.948 0.361
Sm 0.395 0.541 0.790
Sm 0.605 0.459 0.210
Sm 0.150 0.217 0.300
Al 0.777 0.355 0.555
Al 0.223 0.645 0.445
Tl 0.500 0.000 0.000

Computed, not measured: a relaxed SmTmAlTl crystal at the GGA-PBE level of DFT.

Properties
VASP energy   -16.71 eV for the cell shown
Volume   25.766 A^3/atom
Formation enthalpy at 0 K   -0.35 eV per atom
Relative energy among the computed polymorphs   0 meV per atom
Calculated density   8.87 g/cm³
Magnetic moment   0.00 μB per cell

Cell lengths 3.654, 3.654, 7.719 Å; angles 90.00, 90.00, 90.00 degrees
Element x y z (fractional)
Al 0.000 0.000 0.867
Tm 0.500 0.500 0.093
Tl 0.000 0.000 0.345
Sm 0.500 0.500 0.623

Computed, not measured: a relaxed SmTmAlTl crystal at the GGA-PBE level of DFT.

Properties
VASP energy   -16.60 eV for the cell shown
Volume   25.830 A^3/atom
Formation enthalpy at 0 K   -0.33 eV per atom
Relative energy among the computed polymorphs   27 meV per atom
Calculated density   8.85 g/cm³
Magnetic moment   0.00 μB per cell

Cell lengths 5.267, 5.267, 5.267 Å; angles 60.00, 60.00, 60.00 degrees
Element x y z (fractional)
Tm 0.250 0.250 0.250
Sm 0.750 0.750 0.750
Al 0.500 0.500 0.500
Tl 0.000 0.000 0.000

Computed, not measured: a relaxed Sm4TmAl crystal at the GGA-PBE level of DFT.

Properties
VASP energy   -54.49 eV for the cell shown
Volume   30.803 A^3/atom
Formation enthalpy at 0 K   -0.03 eV per atom
Relative energy among the computed polymorphs   76 meV per atom
Calculated density   7.16 g/cm³
Magnetic moment   0.00 μB per cell

Cell lengths 6.311, 9.018, 8.290 Å; angles 113.61, 100.13, 112.12 degrees
Element x y z (fractional)
Sm 0.238 0.284 0.369
Sm 0.770 0.395 0.227
Sm 0.230 0.605 0.773
Sm 0.369 0.915 0.631
Sm 0.762 0.716 0.631
Sm 0.631 0.085 0.369
Sm 0.044 0.168 0.773
Sm 0.956 0.832 0.227
Tm 0.342 0.592 0.183
Tm 0.658 0.408 0.817
Al 0.750 0.000 0.001
Al 0.250 0.000 0.999

Computed, not measured: a relaxed Sm5TmAl2 crystal at the GGA-PBE level of DFT.

Properties
VASP energy   -36.02 eV for the cell shown
Volume   29.073 A^3/atom
Formation enthalpy at 0 K   -0.06 eV per atom
Relative energy among the computed polymorphs   0 meV per atom
Calculated density   6.96 g/cm³
Magnetic moment   0.00 μB per cell

Cell lengths 3.599, 8.276, 8.276 Å; angles 79.71, 77.44, 77.44 degrees
Element x y z (fractional)
Al 0.277 0.223 0.223
Al 0.723 0.777 0.777
Sm 0.000 0.500 0.500
Sm 0.640 0.579 0.140
Sm 0.640 0.140 0.579
Sm 0.360 0.421 0.860
Sm 0.360 0.860 0.421
Tm 0.000 0.000 0.000

Computed, not measured: a relaxed Sm4TmAl crystal at the GGA-PBE level of DFT.

Properties
VASP energy   -27.70 eV for the cell shown
Volume   30.359 A^3/atom
Formation enthalpy at 0 K   -0.10 eV per atom
Relative energy among the computed polymorphs   0 meV per atom
Calculated density   7.27 g/cm³
Magnetic moment   0.00 μB per cell

Cell lengths 3.569, 3.569, 14.301 Å; angles 90.00, 90.00, 90.00 degrees
Element x y z (fractional)
Tm 0.000 0.000 0.000
Sm 0.000 0.000 0.637
Sm 0.500 0.500 0.177
Sm 0.500 0.500 0.823
Sm 0.000 0.000 0.363
Al 0.500 0.500 0.500

Computed, not measured: a relaxed Sm12TmAl3 crystal at the GGA-PBE level of DFT.

Properties
VASP energy   -74.19 eV for the cell shown
Volume   29.527 A^3/atom
Formation enthalpy at 0 K   -0.12 eV per atom
Calculated density   7.22 g/cm³
Magnetic moment   0.00 μB per cell

Cell lengths 4.880, 4.880, 19.837 Å; angles 90.00, 90.00, 90.00 degrees
Element x y z (fractional)
Al 0.000 0.000 0.500
Al 0.000 0.000 0.257
Al 0.000 0.000 0.743
Sm 0.500 0.500 0.000
Sm 0.500 0.000 0.134
Sm 0.000 0.500 0.134
Sm 0.500 0.500 0.744
Sm 0.500 0.500 0.500
Sm 0.000 0.500 0.866
Sm 0.500 0.000 0.378
Sm 0.000 0.500 0.622
Sm 0.500 0.500 0.256
Sm 0.000 0.500 0.378
Sm 0.500 0.000 0.866
Sm 0.500 0.000 0.622
Tm 0.000 0.000 0.000

Computed, not measured: a relaxed Sm2TmAl3 crystal at the GGA-PBE level of DFT.

Properties
VASP energy   -52.05 eV for the cell shown
Volume   26.047 A^3/atom
Formation enthalpy at 0 K   -0.15 eV per atom
Relative energy among the computed polymorphs   233 meV per atom
Calculated density   5.85 g/cm³
Magnetic moment   0.00 μB per cell

Cell lengths 5.131, 7.899, 7.899 Å; angles 102.48, 90.00, 90.00 degrees
Element x y z (fractional)
Tm 0.750 0.110 0.110
Tm 0.250 0.890 0.890
Al 0.500 0.795 0.205
Al 0.000 0.205 0.795
Al 0.000 0.795 0.205
Al 0.750 0.425 0.425
Al 0.500 0.205 0.795
Al 0.250 0.575 0.575
Sm 0.750 0.569 0.847
Sm 0.250 0.431 0.153
Sm 0.250 0.153 0.431
Sm 0.750 0.847 0.569

Computed, not measured: a relaxed Sm3TmAl2 crystal at the GGA-PBE level of DFT.

Properties
VASP energy   -55.48 eV for the cell shown
Volume   27.358 A^3/atom
Formation enthalpy at 0 K   -0.27 eV per atom
Relative energy among the computed polymorphs   0 meV per atom
Calculated density   6.82 g/cm³
Magnetic moment   0.00 μB per cell

Cell lengths 5.161, 6.609, 9.625 Å; angles 90.00, 90.00, 90.00 degrees
Element x y z (fractional)
Sm 0.500 0.191 0.820
Sm 0.000 0.309 0.330
Sm 0.500 0.691 0.180
Sm 0.000 0.809 0.670
Sm 0.000 0.974 0.039
Sm 0.000 0.474 0.961
Tm 0.500 0.024 0.457
Tm 0.500 0.524 0.543
Al 0.000 0.296 0.648
Al 0.500 0.206 0.150
Al 0.500 0.706 0.850
Al 0.000 0.796 0.352

Computed, not measured: a relaxed Sm6Tm2Al crystal at the GGA-PBE level of DFT.

Properties
VASP energy   -82.28 eV for the cell shown
Volume   31.324 A^3/atom
Formation enthalpy at 0 K   -0.02 eV per atom
Calculated density   7.46 g/cm³
Magnetic moment   0.00 μB per cell

Cell lengths 5.396, 10.220, 10.223 Å; angles 90.00, 89.98, 90.00 degrees
Element x y z (fractional)
Sm 0.500 0.814 0.041
Sm 0.500 0.877 0.377
Sm 0.000 0.313 0.459
Sm 0.000 0.960 0.813
Sm 0.000 0.623 0.877
Sm 0.000 0.377 0.123
Sm 0.500 0.123 0.623
Sm 0.000 0.687 0.541
Sm 0.500 0.460 0.687
Sm 0.500 0.186 0.959
Sm 0.500 0.540 0.313
Sm 0.000 0.040 0.187
Al 0.500 0.500 0.000
Al 0.000 0.000 0.500
Tm 0.500 0.214 0.286
Tm 0.000 0.286 0.786
Tm 0.500 0.786 0.714
Tm 0.000 0.714 0.214

Computed, not measured: a relaxed SmTm2Al4 crystal at the GGA-PBE level of DFT.

Properties
VASP energy   -31.62 eV for the cell shown
Volume   22.770 A^3/atom
Formation enthalpy at 0 K   -0.43 eV per atom
Calculated density   6.21 g/cm³
Magnetic moment   0.49 μB per cell

Cell lengths 4.521, 3.606, 10.197 Å; angles 100.18, 102.81, 90.00 degrees
Element x y z (fractional)
Al 0.358 0.358 0.715
Al 0.642 0.642 0.285
Al 0.932 0.432 0.864
Al 0.068 0.568 0.136
Tm 0.804 0.804 0.608
Tm 0.196 0.196 0.392
Sm 0.500 0.000 0.000

Computed, not measured: a relaxed Sm3Tm4Al4 crystal at the GGA-PBE level of DFT.

Properties
VASP energy   -49.17 eV for the cell shown
Volume   26.922 A^3/atom
Formation enthalpy at 0 K   -0.20 eV per atom
Calculated density   6.92 g/cm³
Magnetic moment   0.00 μB per cell

Cell lengths 5.116, 6.911, 9.415 Å; angles 111.53, 105.77, 90.00 degrees
Element x y z (fractional)
Al 0.500 0.803 0.000
Al 0.820 0.320 0.640
Al 0.500 0.197 0.000
Al 0.180 0.680 0.360
Tm 0.679 0.910 0.359
Tm 0.679 0.449 0.359
Tm 0.321 0.551 0.641
Tm 0.321 0.090 0.641
Sm 0.000 0.500 0.000
Sm 0.895 0.895 0.790
Sm 0.105 0.105 0.210

Computed, not measured: a relaxed Sm2TmAl2 crystal at the GGA-PBE level of DFT.

Properties
VASP energy   -22.96 eV for the cell shown
Volume   26.421 A^3/atom
Formation enthalpy at 0 K   -0.31 eV per atom
Calculated density   6.58 g/cm³
Magnetic moment   0.00 μB per cell

Cell lengths 4.864, 5.792, 5.792 Å; angles 70.82, 65.17, 65.17 degrees
Element x y z (fractional)
Al 0.500 0.699 0.301
Al 0.500 0.301 0.699
Sm 0.803 0.697 0.697
Sm 0.197 0.303 0.303
Tm 0.000 0.000 0.000